Here is a relaxed structure of Ac2Nd2Ho7 from Alexandria. Energies are from GGA-PBE.

a = 3.7223 Å, b = 10.6932 Å, c = 10.6934 Å
α = 67.80°, β = 100.02°, γ = 100.02°
Closest atoms and distances in Å follow each position.
Element x y z (fractional)
1 Ac 0.3073 0.8078 0.8078  10 Ho 3.69-3.91, 2 Ac 3.72
2 Ac 0.6927 0.1922 0.1922  10 Ho 3.69-3.91, 2 Ac 3.72
3 Nd 0.5000 0.2481 0.7519  8 Ho 3.47-3.56, 2 Nd 3.72
4 Nd 0.5000 0.7519 0.2481  8 Ho 3.47-3.56, 2 Nd 3.72
5 Ho 0.1681 0.4352 0.9009  6 Ho 3.42-3.72, 2 Nd 3.47, 3 Ac 3.69-3.72
6 Ho 0.8319 0.0991 0.5648  6 Ho 3.42-3.72, 2 Nd 3.47, 3 Ac 3.69-3.72
7 Ho 0.8319 0.5648 0.0991  6 Ho 3.42-3.72, 2 Nd 3.47, 3 Ac 3.69-3.72
8 Ho 0.1681 0.9009 0.4352  6 Ho 3.42-3.72, 2 Nd 3.47, 3 Ac 3.69-3.72
9 Ho 0.3910 0.3901 0.3901  7 Ho 3.49-3.82, 2 Nd 3.56, 2 Ac 3.91
10 Ho 0.0000 0.0000 0.0000  4 Nd 3.50, 2 Ho 3.72, 4 Ac 3.82
11 Ho 0.6090 0.6099 0.6099  7 Ho 3.49-3.82, 2 Nd 3.56, 2 Ac 3.91

Energy = -4.396 eV/atom
Magnetization = 0.00 Bohr magnetons per cell
Space group = No. 12

Here is a relaxed structure of Sm4AgOs from Alexandria. Energies are from GGA-PBE.

a = 6.3233 Å, b = 9.1935 Å, c = 7.7728 Å
α = 114.51°, β = 98.63°, γ = 115.73°
Closest atoms and distances in Å follow each position.
Element x y z (fractional)
1 Sm 0.1214 0.2125 0.8451  2 Os 2.99-3.10, 2 Ag 3.21-3.23
2 Sm 0.7625 0.7232 0.6574  2 Os 2.85-2.87, 1 Ag 3.18
3 Sm 0.2237 0.6326 0.8451  2 Os 2.99-3.10, 2 Ag 3.21-3.23
4 Sm 0.3949 0.9342 0.6574  2 Os 2.85-2.87, 1 Ag 3.18
5 Sm 0.6051 0.0658 0.3426  2 Os 2.85-2.87, 1 Ag 3.18
6 Sm 0.7763 0.3674 0.1549  2 Os 2.99-3.10, 2 Ag 3.21-3.23
7 Sm 0.2375 0.2768 0.3426  2 Os 2.85-2.87, 1 Ag 3.18
8 Sm 0.8786 0.7875 0.1549  2 Os 2.99-3.10, 2 Ag 3.21-3.23
9 Ag 0.3769 0.6269 0.2539  8 Sm 3.18-3.34
10 Ag 0.6231 0.3731 0.7461  8 Sm 3.18-3.34
11 Os 0.2489 0.9989 0.9979  8 Sm 2.85-3.10, 2 Os 3.16
12 Os 0.7511 0.0011 0.0021  8 Sm 2.85-3.10, 2 Os 3.16

Energy = -5.682 eV/atom
Magnetization = 0.00 Bohr magnetons per cell
Space group = No. 15

Here is a relaxed structure of BaNdDy from Alexandria. Energies are from GGA-PBE.

a = 3.8139 Å, b = 3.8139 Å, c = 8.7408 Å
α = 102.60°, β = 102.60°, γ = 90.00°
Closest atoms and distances in Å follow each position.
Element x y z (fractional)
1 Nd 0.6821 0.6821 0.3643  4 Dy 3.53, 4 Nd 3.81
2 Ba 0.9990 0.9990 0.9980  4 Ba 3.81, 4 Dy 4.03, 4 Nd 4.07
3 Dy 0.3188 0.3188 0.6377  4 Nd 3.53, 4 Dy 3.81

Energy = -3.605 eV/atom
Magnetization = 0.00 Bohr magnetons per cell
Space group = No. 107

Here is a relaxed structure of LaCu2I6 from Alexandria. Energies are from GGA-PBE.

a = 7.7165 Å, b = 10.3308 Å, c = 10.3308 Å
α = 84.47°, β = 77.13°, γ = 77.13°
Closest atoms and distances in Å follow each position.
Element x y z (fractional)
1 La 0.2500 0.1128 0.8872  6 I 3.07-3.34
2 La 0.7500 0.8872 0.1128  6 I 3.07-3.34
3 Cu 0.2561 0.6191 0.7870  4 I 2.54-2.68
4 Cu 0.2439 0.2130 0.3809  4 I 2.54-2.68
5 Cu 0.7439 0.3809 0.2130  4 I 2.54-2.68
6 Cu 0.7561 0.7870 0.6191  4 I 2.54-2.68
7 I 0.5401 0.6361 0.6113  2 Cu 2.54
8 I 0.9599 0.3886 0.3639  2 Cu 2.54
9 I 0.4599 0.3639 0.3886  2 Cu 2.54
10 I 0.0401 0.6113 0.6361  2 Cu 2.54
11 I 0.8038 0.9320 0.3898  1 Cu 2.68
12 I 0.6962 0.6102 0.0680  1 Cu 2.68
13 I 0.1962 0.0680 0.6102  1 Cu 2.68
14 I 0.3038 0.3898 0.9320  1 Cu 2.68
15 I 0.1688 0.8071 0.9645  1 Cu 2.67
16 I 0.3312 0.0355 0.1929  1 Cu 2.67
17 I 0.8312 0.1929 0.0355  1 Cu 2.67
18 I 0.6688 0.9645 0.8071  1 Cu 2.67

Energy = -3.173 eV/atom
Magnetization = 0.00 Bohr magnetons per cell
Space group = No. 15

Here is a relaxed structure of RbNpCu2Cl8 from Alexandria. Energies are from GGA-PBE.

a = 7.0997 Å, b = 7.0997 Å, c = 9.0391 Å
α = 90.00°, β = 90.00°, γ = 120.00°
Closest atoms and distances in Å follow each position.
Element x y z (fractional)
1 Rb 0.0000 0.0000 0.5000  6 Cl 3.60
2 Np 0.0000 0.0000 0.0000  6 Cl 2.57
3 Cu 0.3333 0.6667 0.7009  4 Cl 2.15-2.35
4 Cu 0.6667 0.3333 0.2991  4 Cl 2.15-2.35
5 Cl 0.1666 0.3333 0.8279  1 Cu 2.35, 1 Np 2.57
6 Cl 0.1666 0.8334 0.8279  1 Cu 2.35, 1 Np 2.57
7 Cl 0.6667 0.8334 0.8279  1 Cu 2.35, 1 Np 2.57
8 Cl 0.3333 0.1666 0.1721  1 Cu 2.35, 1 Np 2.57
9 Cl 0.6667 0.3333 0.5366  1 Cu 2.15
10 Cl 0.3333 0.6667 0.4634  1 Cu 2.15
11 Cl 0.8334 0.6667 0.1721  1 Cu 2.35, 1 Np 2.57
12 Cl 0.8334 0.1666 0.1721  1 Cu 2.35, 1 Np 2.57

Energy = -4.255 eV/atom
Magnetization = 1.92 Bohr magnetons per cell
Space group = No. 164

Here is a relaxed structure of K2YCu from Alexandria. Energies are from GGA-PBE.

a = 10.9284 Å, b = 10.9284 Å, c = 10.9284 Å
α = 160.30°, β = 157.39°, γ = 30.16°
Closest atoms and distances in Å follow each position.
Element x y z (fractional)
1 Cu 0.2500 0.7500 0.5000  4 Y 2.84
2 K 0.0955 0.0955 0.0000  2 K 3.74, 2 Cu 3.76, 2 Y 3.90
3 K 0.4045 0.4045 0.0000  2 K 3.74, 2 Cu 3.76, 2 Y 3.90
4 Y 0.7500 0.2500 0.5000  4 Cu 2.84

Energy = -2.954 eV/atom
Magnetization = 0.00 Bohr magnetons per cell
Space group = No. 71

Here is a relaxed structure of LaNiCl2 from Alexandria. Energies are from GGA-PBE.

a = 7.1493 Å, b = 7.1493 Å, c = 7.1493 Å
α = 149.72°, β = 146.19°, γ = 46.01°
Closest atoms and distances in Å follow each position.
Element x y z (fractional)
1 Ni 0.7154 0.2154 0.5000  2 La 2.62, 4 Cl 2.80
2 Cl 0.9797 0.9797 0.0000  4 La 3.06
3 Cl 0.2296 0.7296 0.5000  4 Ni 2.80, 2 La 2.91
4 La 0.5753 0.5753 0.0000  2 Ni 2.62, 2 Cl 2.91

Energy = -4.615 eV/atom
Magnetization = 0.00 Bohr magnetons per cell
Space group = No. 44

Here is a relaxed structure of Y2Zn2CdPt5 from Alexandria. Energies are from GGA-PBE.

a = 3.8720 Å, b = 9.6398 Å, c = 9.6398 Å
α = 90.00°, β = 90.00°, γ = 90.00°
Closest atoms and distances in Å follow each position.
Element x y z (fractional)
1 Y 0.0000 0.6771 0.1771  3 Zn 2.76-2.92, 2 Pt 3.09
2 Y 0.0000 0.3229 0.8229  3 Zn 2.76-2.92, 2 Pt 3.09
3 Y 0.0000 0.1771 0.3229  3 Zn 2.76-2.92, 2 Pt 3.09
4 Y 0.0000 0.8229 0.6771  3 Zn 2.76-2.92, 2 Pt 3.09
5 Zn 0.0000 0.1201 0.6201  6 Pt 2.54-2.60, 1 Y 2.76
6 Zn 0.0000 0.8799 0.3799  6 Pt 2.54-2.60, 1 Y 2.76
7 Zn 0.0000 0.6201 0.8799  6 Pt 2.54-2.60, 1 Y 2.76
8 Zn 0.0000 0.3799 0.1201  6 Pt 2.54-2.60, 1 Y 2.76
9 Cd 0.0000 0.0000 0.0000  8 Pt 2.86
10 Cd 0.0000 0.5000 0.5000  8 Pt 2.86
11 Pt 0.5000 0.2079 0.0678  2 Zn 2.60, 2 Cd 2.86, 1 Pt 2.89
12 Pt 0.5000 0.7921 0.9322  2 Zn 2.60, 2 Cd 2.86, 1 Pt 2.89
13 Pt 0.5000 0.0678 0.7921  2 Zn 2.60, 2 Cd 2.86, 1 Pt 2.89
14 Pt 0.5000 0.7079 0.4322  2 Zn 2.60, 2 Cd 2.86, 1 Pt 2.89
15 Pt 0.5000 0.9322 0.2079  2 Zn 2.60, 2 Cd 2.86, 1 Pt 2.89
16 Pt 0.5000 0.2921 0.5678  2 Zn 2.60, 2 Cd 2.86, 1 Pt 2.89
17 Pt 0.5000 0.5678 0.7079  2 Zn 2.60, 2 Cd 2.86, 1 Pt 2.89
18 Pt 0.5000 0.4322 0.2921  2 Zn 2.60, 2 Cd 2.86, 1 Pt 2.89
19 Pt 0.5000 0.5000 0.0000  4 Zn 2.54
20 Pt 0.5000 0.0000 0.5000  4 Zn 2.54

Energy = -5.455 eV/atom
Magnetization = 0.00 Bohr magnetons per cell
Space group = No. 127